Record 1
NbHIr2 | PBE | relaxed

**ΔE to the lowest computed polymorph**: 316.0 meV per atom

Cell and atoms, written as CIF:
```
data_NbHIr2
_chemical_formula_sum 'Nb4 H4 Ir8'
_cell_length_a 6.047
_cell_length_b 6.047
_cell_length_c 6.047
_cell_angle_alpha 90.00
_cell_angle_beta 90.00
_cell_angle_gamma 90.00
_symmetry_space_group_name_H-M 'F m -3 m'
_symmetry_Int_Tables_number 225
_symmetry_space_group_name_Hall '-F 4 2 3'
loop_
_atom_site_label
_atom_site_type_symbol
_atom_site_fract_x
_atom_site_fract_y
_atom_site_fract_z
_atom_site_occupancy
Nb1 Nb 0.000 0.000 0.000 1
H1 H 0.000 0.000 0.500 1
Ir1 Ir 0.250 0.250 0.250 1
```

***

Record 2
NbHIr2 | PBE | relaxed

**ΔE to the lowest computed polymorph**: 0.0 meV per atom

Cell and atoms, written as CIF:
```
data_NbHIr2
_chemical_formula_sum 'Nb4 H4 Ir8'
_cell_length_a 6.351
_cell_length_b 6.351
_cell_length_c 5.088
_cell_angle_alpha 90.00
_cell_angle_beta 90.00
_cell_angle_gamma 90.00
_symmetry_space_group_name_H-M 'I -4 2 d'
_symmetry_Int_Tables_number 122
_symmetry_space_group_name_Hall 'I -4 2bw'
loop_
_atom_site_label
_atom_site_type_symbol
_atom_site_fract_x
_atom_site_fract_y
_atom_site_fract_z
_atom_site_occupancy
Nb1 Nb 0.000 0.000 0.000 1
H1 H 0.000 0.000 0.500 1
Ir1 Ir 0.156 0.250 0.625 1
```

***

Record 3
Nb2NiHIr | PBE | relaxed

**ΔE to the lowest computed polymorph**: 0.0 meV per atom

Cell and atoms, written as CIF:
```
data_Nb2NiHIr
_chemical_formula_sum 'Nb2 Ni1 H1 Ir1'
_cell_length_a 4.043
_cell_length_b 4.043
_cell_length_c 3.885
_cell_angle_alpha 90.00
_cell_angle_beta 90.00
_cell_angle_gamma 90.00
_symmetry_space_group_name_H-M 'P 4/m m m'
_symmetry_Int_Tables_number 123
_symmetry_space_group_name_Hall '-P 4 2'
loop_
_atom_site_label
_atom_site_type_symbol
_atom_site_fract_x
_atom_site_fract_y
_atom_site_fract_z
_atom_site_occupancy
Nb1 Nb 0.000 0.500 0.000 1
Ni1 Ni 0.000 0.000 0.500 1
H1 H 0.000 0.000 0.000 1
Ir1 Ir 0.500 0.500 0.500 1
```

***

Record 4
NbNi2HIr | PBE | relaxed

**ΔE to the lowest computed polymorph**: 52.8 meV per atom

Cell and atoms, written as CIF:
```
data_NbNi2HIr
_chemical_formula_sum 'Nb1 Ni2 H1 Ir1'
_cell_length_a 3.819
_cell_length_b 3.819
_cell_length_c 3.873
_cell_angle_alpha 90.00
_cell_angle_beta 90.00
_cell_angle_gamma 90.00
_symmetry_space_group_name_H-M 'P 4/m m m'
_symmetry_Int_Tables_number 123
_symmetry_space_group_name_Hall '-P 4 2'
loop_
_atom_site_label
_atom_site_type_symbol
_atom_site_fract_x
_atom_site_fract_y
_atom_site_fract_z
_atom_site_occupancy
Nb1 Nb 0.000 0.000 0.000 1
Ni1 Ni 0.000 0.500 0.500 1
H1 H 0.500 0.500 0.500 1
Ir1 Ir 0.500 0.500 0.000 1
```

***

Record 5
Nb2NiHIr | PBE | relaxed

**ΔE to the lowest computed polymorph**: 76.6 meV per atom

Cell and atoms, written as CIF:
```
data_Nb2NiHIr
_chemical_formula_sum 'Nb2 Ni1 H1 Ir1'
_cell_length_a 4.023
_cell_length_b 4.023
_cell_length_c 3.964
_cell_angle_alpha 90.00
_cell_angle_beta 90.00
_cell_angle_gamma 90.00
_symmetry_space_group_name_H-M 'P 4/m m m'
_symmetry_Int_Tables_number 123
_symmetry_space_group_name_Hall '-P 4 2'
loop_
_atom_site_label
_atom_site_type_symbol
_atom_site_fract_x
_atom_site_fract_y
_atom_site_fract_z
_atom_site_occupancy
Nb1 Nb 0.000 0.500 0.000 1
Ni1 Ni 0.000 0.000 0.500 1
H1 H 0.500 0.500 0.000 1
Ir1 Ir 0.500 0.500 0.500 1
```

***

Record 6
NbNi2HIr | PBE | relaxed

**ΔE to the lowest computed polymorph**: 0.0 meV per atom

Cell and atoms, written as CIF:
```
data_NbNi2HIr
_chemical_formula_sum 'Nb1 Ni2 H1 Ir1'
_cell_length_a 3.744
_cell_length_b 3.744
_cell_length_c 4.028
_cell_angle_alpha 90.00
_cell_angle_beta 90.00
_cell_angle_gamma 90.00
_symmetry_space_group_name_H-M 'P 4/m m m'
_symmetry_Int_Tables_number 123
_symmetry_space_group_name_Hall '-P 4 2'
loop_
_atom_site_label
_atom_site_type_symbol
_atom_site_fract_x
_atom_site_fract_y
_atom_site_fract_z
_atom_site_occupancy
Nb1 Nb 0.000 0.000 0.000 1
Ni1 Ni 0.000 0.500 0.500 1
H1 H 0.000 0.000 0.500 1
Ir1 Ir 0.500 0.500 0.000 1
```

***

Record 7
NbHIr2Os | PBE | relaxed

**ΔE to the lowest computed polymorph**: 44.9 meV per atom

Cell and atoms, written as CIF:
```
data_NbHIr2Os
_chemical_formula_sum 'Nb1 H1 Ir2 Os1'
_cell_length_a 3.911
_cell_length_b 3.911
_cell_length_c 4.110
_cell_angle_alpha 90.00
_cell_angle_beta 90.00
_cell_angle_gamma 90.00
_symmetry_space_group_name_H-M 'P 4/m m m'
_symmetry_Int_Tables_number 123
_symmetry_space_group_name_Hall '-P 4 2'
loop_
_atom_site_label
_atom_site_type_symbol
_atom_site_fract_x
_atom_site_fract_y
_atom_site_fract_z
_atom_site_occupancy
Nb1 Nb 0.000 0.000 0.000 1
H1 H 0.000 0.000 0.500 1
Ir1 Ir 0.000 0.500 0.500 1
Os1 Os 0.500 0.500 0.000 1
```

***

Record 8
NbHIr2Os | PBE | relaxed

**ΔE to the lowest computed polymorph**: 0.0 meV per atom

Cell and atoms, written as CIF:
```
data_NbHIr2Os
_chemical_formula_sum 'Nb1 H1 Ir2 Os1'
_cell_length_a 3.950
_cell_length_b 3.950
_cell_length_c 4.027
_cell_angle_alpha 90.00
_cell_angle_beta 90.00
_cell_angle_gamma 90.00
_symmetry_space_group_name_H-M 'P 4/m m m'
_symmetry_Int_Tables_number 123
_symmetry_space_group_name_Hall '-P 4 2'
loop_
_atom_site_label
_atom_site_type_symbol
_atom_site_fract_x
_atom_site_fract_y
_atom_site_fract_z
_atom_site_occupancy
Nb1 Nb 0.000 0.000 0.000 1
H1 H 0.500 0.500 0.500 1
Ir1 Ir 0.000 0.500 0.500 1
Os1 Os 0.500 0.500 0.000 1
```

***

Record 9
NbHIrPd2 | PBE | relaxed

**Electronic total energy**: -6.73 eV per atom

Cell and atoms, written as CIF:
```
data_NbHIrPd2
_chemical_formula_sum 'Nb1 H1 Ir1 Pd2'
_cell_length_a 3.897
_cell_length_b 3.897
_cell_length_c 4.275
_cell_angle_alpha 90.00
_cell_angle_beta 90.00
_cell_angle_gamma 90.00
_symmetry_space_group_name_H-M 'P 4/m m m'
_symmetry_Int_Tables_number 123
_symmetry_space_group_name_Hall '-P 4 2'
loop_
_atom_site_label
_atom_site_type_symbol
_atom_site_fract_x
_atom_site_fract_y
_atom_site_fract_z
_atom_site_occupancy
Nb1 Nb 0.000 0.000 0.000 1
H1 H 0.000 0.000 0.500 1
Ir1 Ir 0.500 0.500 0.000 1
Pd1 Pd 0.000 0.500 0.500 1
```

***

Record 10
NbHIr2Pd | PBE | relaxed

**Electronic total energy**: -7.49 eV per atom

Cell and atoms, written as CIF:
```
data_NbHIr2Pd
_chemical_formula_sum 'Nb1 H1 Ir2 Pd1'
_cell_length_a 4.026
_cell_length_b 4.026
_cell_length_c 3.953
_cell_angle_alpha 90.00
_cell_angle_beta 90.00
_cell_angle_gamma 90.00
_symmetry_space_group_name_H-M 'P 4/m m m'
_symmetry_Int_Tables_number 123
_symmetry_space_group_name_Hall '-P 4 2'
loop_
_atom_site_label
_atom_site_type_symbol
_atom_site_fract_x
_atom_site_fract_y
_atom_site_fract_z
_atom_site_occupancy
Nb1 Nb 0.000 0.000 0.000 1
H1 H 0.500 0.500 0.500 1
Ir1 Ir 0.000 0.500 0.500 1
Pd1 Pd 0.500 0.500 0.000 1
```